VASP calculation (SCAN) on a crystal of NaTaAg3 relaxed with PBEsol.

The calculated volume is 19.48 Å³/atom. The total energy comes out at -157.73 eV per formula unit. The density of states at the Fermi level comes out at 0.3961 states/eV/atom. The calculation puts the formation energy at 692 kJ/mol of formula units.

The space group is Pm-3m (No. 221) and the conventional cell measures 4.601, 4.601 and 4.601 Å, with angles of 90.00, 90.00 and 90.00 degrees. Symmetry generates all atoms from Na at (0.000, 0.000, 0.000), Ta at (0.500, 0.500, 0.500) and Ag at (0.000, 0.000, 0.500).